# 1
# FeAs2PSe, optimized geometry, DFT PBE-GGA
data_FeAs2PSe
_cell_length_a 4.672
_cell_length_b 4.672
_cell_length_c 4.881
_cell_angle_alpha 90.00
_cell_angle_beta 90.00
_cell_angle_gamma 90.00
_symmetry_space_group_name_H-M 'P 1'
_symmetry_Int_Tables_number 1
loop_
_symmetry_equiv_pos_as_xyz
'x,y,z'
loop_
_atom_site_label
_atom_site_fract_x
_atom_site_fract_y
_atom_site_fract_z
_atom_site_occupancy
Se1 0.000 0.000 0.500 1
Fe1 0.500 0.500 0.500 1
As1 0.000 0.500 0.000 1
As2 0.500 0.000 0.000 1
P1 0.000 0.000 0.000 1
# Final energy in eV/atom: -4.37
# Space group: P4/mmm
# N(E_F) in states/eV per atom: 1.4029
# Magnetization in μB/cell: 3.3
# Formation energy (no corrections) in eV per atom: 0.96

---

# 2
# KBeCd, optimized geometry, DFT PBE-GGA
data_KBeCd
_cell_length_a 5.843
_cell_length_b 4.199
_cell_length_c 12.506
_cell_angle_alpha 90.00
_cell_angle_beta 97.20
_cell_angle_gamma 90.00
_symmetry_space_group_name_H-M 'P 1'
_symmetry_Int_Tables_number 1
loop_
_symmetry_equiv_pos_as_xyz
'x,y,z'
loop_
_atom_site_label
_atom_site_fract_x
_atom_site_fract_y
_atom_site_fract_z
_atom_site_occupancy
Be1 0.193 0.000 0.632 1
Be2 0.193 0.500 0.132 1
Be3 0.028 0.500 0.614 1
Be4 0.028 0.000 0.114 1
K1 0.225 0.000 0.377 1
K2 0.225 0.500 0.877 1
K3 0.725 0.000 0.838 1
K4 0.725 0.500 0.338 1
Cd1 0.776 0.000 0.577 1
Cd2 0.776 0.500 0.077 1
Cd3 0.451 0.000 0.110 1
Cd4 0.451 0.500 0.610 1
# Final energy in eV/atom: -1.61
# Space group: Cm
# N(E_F) in states/eV per atom: 0.2159
# Magnetization in μB/cell: 0.0
# Energy of formation from the pure elements in meV/atom: 299

---

# 3
# CeNdCSe, optimized geometry, DFT PBE-GGA
data_CeNdCSe
_cell_length_a 3.988
_cell_length_b 3.988
_cell_length_c 5.692
_cell_angle_alpha 90.00
_cell_angle_beta 90.00
_cell_angle_gamma 90.00
_symmetry_space_group_name_H-M 'P 1'
_symmetry_Int_Tables_number 1
loop_
_symmetry_equiv_pos_as_xyz
'x,y,z'
loop_
_atom_site_label
_atom_site_fract_x
_atom_site_fract_y
_atom_site_fract_z
_atom_site_occupancy
Nd1 0.000 0.000 0.500 1
Se1 0.500 0.500 0.500 1
Ce1 0.500 0.500 0.000 1
C1 0.000 0.000 0.000 1
# Final energy in eV/atom: -6.60
# Space group: P4/mmm
# N(E_F) in states/eV per atom: 0.9512
# Magnetization in μB/cell: 0.4
# Formation energy (no corrections) in eV per atom: -0.75

---

# 4
# TbNdMgHg, optimized geometry, DFT PBE-GGA
data_TbNdMgHg
_cell_length_a 5.386
_cell_length_b 5.386
_cell_length_c 5.386
_cell_angle_alpha 60.00
_cell_angle_beta 60.00
_cell_angle_gamma 60.00
_symmetry_space_group_name_H-M 'P 1'
_symmetry_Int_Tables_number 1
loop_
_symmetry_equiv_pos_as_xyz
'x,y,z'
loop_
_atom_site_label
_atom_site_fract_x
_atom_site_fract_y
_atom_site_fract_z
_atom_site_occupancy
Nd1 0.750 0.750 0.750 1
Hg1 0.500 0.500 0.500 1
Tb1 0.250 0.250 0.250 1
Mg1 0.000 0.000 0.000 1
# Final energy in eV/atom: -3.08
# Space group: F-43m
# N(E_F) in states/eV per atom: 1.2360
# Magnetization in μB/cell: 0.4
# Energy of formation from the pure elements in meV/atom: -261

---

# 5
# Ce5Al2Cu12, optimized geometry, DFT PBE-GGA
data_Ce5Al2Cu12
_cell_length_a 6.251
_cell_length_b 6.671
_cell_length_c 8.540
_cell_angle_alpha 67.01
_cell_angle_beta 88.74
_cell_angle_gamma 90.00
_symmetry_space_group_name_H-M 'P 1'
_symmetry_Int_Tables_number 1
loop_
_symmetry_equiv_pos_as_xyz
'x,y,z'
loop_
_atom_site_label
_atom_site_fract_x
_atom_site_fract_y
_atom_site_fract_z
_atom_site_occupancy
Cu1 0.255 0.053 0.270 1
Cu2 0.914 0.894 0.212 1
Cu3 0.086 0.106 0.788 1
Cu4 0.255 0.677 0.270 1
Cu5 0.745 0.947 0.730 1
Cu6 0.653 0.211 0.201 1
Cu7 0.653 0.588 0.201 1
Cu8 0.347 0.412 0.799 1
Cu9 0.347 0.789 0.799 1
Cu10 0.680 0.545 0.909 1
Cu11 0.745 0.323 0.730 1
Cu12 0.320 0.455 0.091 1
Ce1 0.972 0.300 0.399 1
Ce2 0.028 0.700 0.601 1
Ce3 0.590 0.753 0.494 1
Ce4 0.410 0.247 0.506 1
Ce5 0.500 0.000 0.000 1
Al1 0.000 0.720 0.000 1
Al2 0.000 0.280 0.000 1
# Final energy in eV/atom: -4.66
# Space group: C2/m
# N(E_F) in states/eV per atom: 1.4431
# Magnetization in μB/cell: 3.6
# Energy of formation from the pure elements in meV/atom: -118

---

# 6
# Mg3SbN, optimized geometry, DFT PBE-GGA
data_Mg3SbN
_cell_length_a 19.264
_cell_length_b 8.569
_cell_length_c 8.569
_cell_angle_alpha 158.28
_cell_angle_beta 154.30
_cell_angle_gamma 25.70
_symmetry_space_group_name_H-M 'P 1'
_symmetry_Int_Tables_number 1
loop_
_symmetry_equiv_pos_as_xyz
'x,y,z'
loop_
_atom_site_label
_atom_site_fract_x
_atom_site_fract_y
_atom_site_fract_z
_atom_site_occupancy
Mg1 0.176 0.126 0.874 1
Mg2 0.783 0.260 0.740 1
Mg3 0.217 0.740 0.260 1
Mg4 0.824 0.874 0.126 1
Mg5 0.501 0.650 0.350 1
Mg6 0.499 0.350 0.650 1
Sb1 0.870 0.002 0.998 1
Sb2 0.130 0.998 0.002 1
N1 0.662 0.946 0.054 1
N2 0.338 0.054 0.946 1
# Final energy in eV/atom: -3.82
# Space group: C2/m
# N(E_F) in states/eV per atom: 0.2456
# Magnetization in μB/cell: 0.0
# Formation energy (no corrections) in eV per atom: -0.37

---

# 7
# CaMg2NiGe, optimized geometry, DFT PBE-GGA
data_CaMg2NiGe
_cell_length_a 4.857
_cell_length_b 4.857
_cell_length_c 4.572
_cell_angle_alpha 90.00
_cell_angle_beta 90.00
_cell_angle_gamma 90.00
_symmetry_space_group_name_H-M 'P 1'
_symmetry_Int_Tables_number 1
loop_
_symmetry_equiv_pos_as_xyz
'x,y,z'
loop_
_atom_site_label
_atom_site_fract_x
_atom_site_fract_y
_atom_site_fract_z
_atom_site_occupancy
Ge1 0.000 0.000 0.500 1
Ni1 0.000 0.000 0.000 1
Mg1 0.500 0.000 0.000 1
Mg2 0.000 0.500 0.000 1
Ca1 0.500 0.500 0.500 1
# Final energy in eV/atom: -3.33
# Space group: P4/mmm
# N(E_F) in states/eV per atom: 0.5616
# Magnetization in μB/cell: 0.0
# Energy of formation from the pure elements in meV/atom: -209

---

# 8
# Th2FeI2, optimized geometry, DFT PBE-GGA
data_Th2FeI2
_cell_length_a 4.069
_cell_length_b 4.069
_cell_length_c 11.933
_cell_angle_alpha 80.18
_cell_angle_beta 80.18
_cell_angle_gamma 60.00
_symmetry_space_group_name_H-M 'P 1'
_symmetry_Int_Tables_number 1
loop_
_symmetry_equiv_pos_as_xyz
'x,y,z'
loop_
_atom_site_label
_atom_site_fract_x
_atom_site_fract_y
_atom_site_fract_z
_atom_site_occupancy
Th1 0.625 0.625 0.126 1
Th2 0.375 0.375 0.874 1
I1 0.224 0.224 0.328 1
I2 0.776 0.776 0.672 1
Fe1 0.000 0.000 0.000 1
# Final energy in eV/atom: -5.99
# Space group: R-3m
# N(E_F) in states/eV per atom: 0.2502
# Magnetization in μB/cell: 0.0
# Formation energy (no corrections) in eV per atom: -0.71

---

# 9
# Sm2Y2Ag3, optimized geometry, DFT PBE-GGA
data_Sm2Y2Ag3
_cell_length_a 5.138
_cell_length_b 5.143
_cell_length_c 8.896
_cell_angle_alpha 90.05
_cell_angle_beta 106.85
_cell_angle_gamma 119.96
_symmetry_space_group_name_H-M 'P 1'
_symmetry_Int_Tables_number 1
loop_
_symmetry_equiv_pos_as_xyz
'x,y,z'
loop_
_atom_site_label
_atom_site_fract_x
_atom_site_fract_y
_atom_site_fract_z
_atom_site_occupancy
Y1 0.753 0.377 0.130 1
Y2 0.247 0.623 0.870 1
Sm1 0.253 0.127 0.381 1
Sm2 0.747 0.873 0.619 1
Ag1 0.496 0.748 0.244 1
Ag2 0.000 0.000 0.000 1
Ag3 0.504 0.252 0.756 1
# Final energy in eV/atom: -4.57
# Space group: P-1
# N(E_F) in states/eV per atom: 1.1023
# Magnetization in μB/cell: 0.0
# Energy of formation from the pure elements in meV/atom: -150

---

# 10
# Cs2CeTlI6, optimized geometry, DFT PBE-GGA
data_Cs2CeTlI6
_cell_length_a 8.917
_cell_length_b 9.728
_cell_length_c 13.037
_cell_angle_alpha 90.00
_cell_angle_beta 90.00
_cell_angle_gamma 90.00
_symmetry_space_group_name_H-M 'P 1'
_symmetry_Int_Tables_number 1
loop_
_symmetry_equiv_pos_as_xyz
'x,y,z'
loop_
_atom_site_label
_atom_site_fract_x
_atom_site_fract_y
_atom_site_fract_z
_atom_site_occupancy
Cs1 0.000 0.192 0.288 1
Cs2 0.000 0.192 0.712 1
Cs3 0.500 0.808 0.212 1
Cs4 0.500 0.808 0.788 1
I1 0.000 0.787 0.759 1
I2 0.760 0.430 0.500 1
I3 0.240 0.430 0.500 1
I4 0.500 0.213 0.741 1
I5 0.500 0.213 0.259 1
I6 0.000 0.787 0.241 1
I7 0.742 0.979 0.500 1
I8 0.258 0.979 0.500 1
I9 0.242 0.021 0.000 1
I10 0.260 0.570 0.000 1
I11 0.740 0.570 0.000 1
I12 0.758 0.021 0.000 1
Tl1 0.500 0.290 0.000 1
Tl2 0.000 0.710 0.500 1
Ce1 0.500 0.216 0.500 1
Ce2 0.000 0.784 0.000 1
# Final energy in eV/atom: -3.23
# Space group: Pmmn
# N(E_F) in states/eV per atom: 0.8144
# Magnetization in μB/cell: 2.0
# Formation energy (no corrections) in eV per atom: -1.30